i | Crystalline CdPd5Pt at its relaxed geometry. Source: Alexandria, functional GGA-PBE.

```
data_CdPd5Pt
_cell_length_a 5.078
_cell_length_b 5.161
_cell_length_c 9.252
_cell_angle_alpha 90.00
_cell_angle_beta 90.00
_cell_angle_gamma 90.00
_space_group_name_H-M_alt 'I m m 2'
_space_group_IT_number 44
loop_
_space_group_symop_operation_xyz
'x,y,z'
'-x,-y,z'
'-x,y,z'
'x,-y,z'
'x+1/2,y+1/2,z+1/2'
'-x+1/2,-y+1/2,z+1/2'
'-x+1/2,y+1/2,z+1/2'
'x+1/2,-y+1/2,z+1/2'
loop_
_atom_site_label
_atom_site_type_symbol
_atom_site_fract_x
_atom_site_fract_y
_atom_site_fract_z
Cd1 Cd 0.000 0.000 0.000
Pd1 Pd 0.000 0.245 0.635
Pd2 Pd 0.000 0.500 0.380
Pd3 Pd 0.246 0.000 0.355
Pt1 Pt 0.000 0.500 0.107
```

Properties
- spin magnetization (μB/cell) = 0.000
- D(E_F) (states/eV/f.u.) = 9.31
- V (Å³/cell) = 242.5

ii | Crystalline CdPd5Pt at its relaxed geometry. Source: Alexandria, functional GGA-PBE.

```
data_CdPd5Pt
_cell_length_a 4.686
_cell_length_b 4.686
_cell_length_c 5.567
_cell_angle_alpha 90.00
_cell_angle_beta 90.00
_cell_angle_gamma 90.00
_space_group_name_H-M_alt 'P 4/m m m'
_space_group_IT_number 123
_space_group_name_Hall '-P 4 2'
loop_
_atom_site_label
_atom_site_type_symbol
_atom_site_fract_x
_atom_site_fract_y
_atom_site_fract_z
Cd1 Cd 0.000 0.000 0.000
Pd1 Pd 0.000 0.500 0.260
Pd2 Pd 0.500 0.500 0.000
Pt1 Pt 0.500 0.500 0.500
```

Properties
- spin magnetization (μB/cell) = 0.000
- D(E_F) (states/eV/f.u.) = 6.66
- V (Å³/cell) = 122.2

What are the relative energies? In kJ/mol of atoms: i 11.8; ii 0.0.

i | Crystalline CdPd3Pt at its relaxed geometry. Source: Alexandria, functional GGA-PBE.

```
data_CdPd3Pt
_cell_length_a 12.626
_cell_length_b 8.098
_cell_length_c 8.905
_cell_angle_alpha 90.00
_cell_angle_beta 134.65
_cell_angle_gamma 90.00
_space_group_name_H-M_alt 'C 1 2/c 1'
_space_group_IT_number 15
loop_
_space_group_symop_operation_xyz
'x,y,z'
'-x,-y,-z'
'-x,y,-z+1/2'
'x,-y,z+1/2'
'x+1/2,y+1/2,z'
'-x+1/2,-y+1/2,-z'
'-x+1/2,y+1/2,-z+1/2'
'x+1/2,-y+1/2,z+1/2'
loop_
_atom_site_label
_atom_site_type_symbol
_atom_site_fract_x
_atom_site_fract_y
_atom_site_fract_z
Cd1 Cd 0.198 0.119 0.053
Pd1 Pd 0.094 0.374 0.141
Pd2 Pd 0.100 0.126 0.654
Pd3 Pd 0.202 0.372 0.550
Pt1 Pt 0.000 0.131 0.250
Pt2 Pt 0.000 0.381 0.750
```

Properties
- spin magnetization (μB/cell) = 0.001
- D(E_F) (states/eV/f.u.) = 7.13
- V (Å³/cell) = 647.7

ii | Crystalline CdPd3Pt at its relaxed geometry. Source: Alexandria, functional GGA-PBE.

```
data_CdPd3Pt
_cell_length_a 4.907
_cell_length_b 4.907
_cell_length_c 4.907
_cell_angle_alpha 90.00
_cell_angle_beta 90.00
_cell_angle_gamma 90.00
_space_group_name_H-M_alt 'P m -3 m'
_space_group_IT_number 221
_space_group_name_Hall '-P 4 2 3'
loop_
_atom_site_label
_atom_site_type_symbol
_atom_site_fract_x
_atom_site_fract_y
_atom_site_fract_z
Cd1 Cd 0.000 0.000 0.000
Pd1 Pd 0.000 0.500 0.500
Pt1 Pt 0.500 0.500 0.500
```

Properties
- spin magnetization (μB/cell) = 0.000
- D(E_F) (states/eV/f.u.) = 7.15
- V (Å³/cell) = 118.2

iii | Crystalline CdPd3Pt at its relaxed geometry. Source: Alexandria, functional GGA-PBE.

```
data_CdPd3Pt
_cell_length_a 6.520
_cell_length_b 7.216
_cell_length_c 7.303
_cell_angle_alpha 90.00
_cell_angle_beta 90.00
_cell_angle_gamma 90.00
_space_group_name_H-M_alt 'P n m a'
_space_group_IT_number 62
loop_
_space_group_symop_operation_xyz
'x,y,z'
'-x,-y,-z'
'-x+1/2,-y,z+1/2'
'x+1/2,y,-z+1/2'
'x+1/2,-y+1/2,-z+1/2'
'-x+1/2,y+1/2,z+1/2'
'-x,y+1/2,-z'
'x,-y+1/2,z'
loop_
_atom_site_label
_atom_site_type_symbol
_atom_site_fract_x
_atom_site_fract_y
_atom_site_fract_z
Cd1 Cd 0.163 0.250 0.187
Pd1 Pd 0.127 0.051 0.850
Pd2 Pd 0.212 0.750 0.069
Pt1 Pt 0.000 0.000 0.500
```

Properties
- spin magnetization (μB/cell) = 0.000
- D(E_F) (states/eV/f.u.) = 5.32
- V (Å³/cell) = 343.6

What are the relative energies? In kJ/mol of atoms: i 0.0; ii 94.8; iii 15.6.

i | Crystalline Cd2Pd4Pt at its relaxed geometry. Source: Alexandria, functional GGA-PBE.

```
data_Cd2Pd4Pt
_cell_length_a 6.826
_cell_length_b 5.226
_cell_length_c 7.557
_cell_angle_alpha 90.00
_cell_angle_beta 116.48
_cell_angle_gamma 90.00
_space_group_name_H-M_alt 'P 1 21/m 1'
_space_group_IT_number 11
loop_
_space_group_symop_operation_xyz
'x,y,z'
'-x,-y,-z'
'-x,y+1/2,-z'
'x,-y+1/2,z'
loop_
_atom_site_label
_atom_site_type_symbol
_atom_site_fract_x
_atom_site_fract_y
_atom_site_fract_z
Cd1 Cd 0.073 0.250 0.425
Cd2 Cd 0.217 0.750 0.011
Pd1 Pd 0.249 0.250 0.169
Pd2 Pd 0.373 0.501 0.769
Pd3 Pd 0.426 0.750 0.444
Pt1 Pt 0.013 0.250 0.767
```

Properties
- spin magnetization (μB/cell) = 0.000
- D(E_F) (states/eV/f.u.) = 5.68
- V (Å³/cell) = 241.3

ii | Crystalline Cd2Pd4Pt at its relaxed geometry. Source: Alexandria, functional GGA-PBE.

```
data_Cd2Pd4Pt
_cell_length_a 7.980
_cell_length_b 7.980
_cell_length_c 7.874
_cell_angle_alpha 90.00
_cell_angle_beta 90.00
_cell_angle_gamma 90.00
_space_group_name_H-M_alt 'I -4 2 d'
_space_group_IT_number 122
_space_group_name_Hall 'I -4 2bw'
loop_
_atom_site_label
_atom_site_type_symbol
_atom_site_fract_x
_atom_site_fract_y
_atom_site_fract_z
Cd1 Cd 0.119 0.750 0.125
Pd1 Pd 0.079 0.670 0.466
Pt1 Pt 0.000 0.000 0.500
```

Properties
- spin magnetization (μB/cell) = 0.000
- D(E_F) (states/eV/f.u.) = 5.45
- V (Å³/cell) = 501.5

What are the relative energies? In kJ/mol of atoms: i 0.0; ii 7.6.

i | Crystalline CdPd3Pt3 at its relaxed geometry. Source: Alexandria, functional GGA-PBE.

```
data_CdPd3Pt3
_cell_length_a 7.4381
_cell_length_b 7.4381
_cell_length_c 4.7018
_cell_angle_alpha 90.00
_cell_angle_beta 90.00
_cell_angle_gamma 120.00
_space_group_name_H-M_alt 'P 63/m'
_space_group_IT_number 176
_space_group_name_Hall '-P 6c'
loop_
_atom_site_label
_atom_site_type_symbol
_atom_site_fract_x
_atom_site_fract_y
_atom_site_fract_z
Cd1 Cd 0.3333 0.6667 0.2500
Pd1 Pd 0.0439 0.2372 0.2500
Pt1 Pt 0.0919 0.4692 0.7500
```

Properties
- spin magnetization (μB/cell) = 0.003
- D(E_F) (states/eV/f.u.) = 13.48
- V (Å³/cell) = 225.3

ii | Crystalline CdPd3Pt3 at its relaxed geometry. Source: Alexandria, functional GGA-PBE.

```
data_CdPd3Pt3
_cell_length_a 7.4870
_cell_length_b 7.4870
_cell_length_c 13.8468
_cell_angle_alpha 90.00
_cell_angle_beta 90.00
_cell_angle_gamma 120.00
_space_group_name_H-M_alt 'R -3'
_space_group_IT_number 148
_space_group_name_Hall '-R 3'
loop_
_atom_site_label
_atom_site_type_symbol
_atom_site_fract_x
_atom_site_fract_y
_atom_site_fract_z
Cd1 Cd 0.0000 0.0000 0.2479
Pd1 Pd 0.0457 0.2392 0.9189
Pt1 Pt 0.0458 0.2375 0.4187
```

Properties
- spin magnetization (μB/cell) = 0.002
- D(E_F) (states/eV/f.u.) = 10.91
- V (Å³/cell) = 672.2

What are the relative energies? In kJ/mol of atoms: i 6.1; ii 0.0.

i | Crystalline Cd2Pd3Pt2 at its relaxed geometry. Source: Alexandria, functional GGA-PBE.

```
data_Cd2Pd3Pt2
_cell_length_a 9.428
_cell_length_b 2.856
_cell_length_c 9.394
_cell_angle_alpha 90.00
_cell_angle_beta 110.16
_cell_angle_gamma 90.00
_space_group_name_H-M_alt 'C 1 2/m 1'
_space_group_IT_number 12
loop_
_space_group_symop_operation_xyz
'x,y,z'
'-x,-y,-z'
'-x,y,-z'
'x,-y,z'
'x+1/2,y+1/2,z'
'-x+1/2,-y+1/2,-z'
'-x+1/2,y+1/2,-z'
'x+1/2,-y+1/2,z'
loop_
_atom_site_label
_atom_site_type_symbol
_atom_site_fract_x
_atom_site_fract_y
_atom_site_fract_z
Cd1 Cd 0.047 0.000 0.279
Pd1 Pd 0.000 0.500 0.000
Pd2 Pd 0.181 0.000 0.593
Pt1 Pt 0.228 0.500 0.867
```

Properties
- spin magnetization (μB/cell) = 0.000
- D(E_F) (states/eV/f.u.) = 5.36
- V (Å³/cell) = 237.5

ii | Crystalline Cd2Pd3Pt2 at its relaxed geometry. Source: Alexandria, functional GGA-PBE.

```
data_Cd2Pd3Pt2
_cell_length_a 4.566
_cell_length_b 2.773
_cell_length_c 9.766
_cell_angle_alpha 90.00
_cell_angle_beta 103.39
_cell_angle_gamma 90.00
_space_group_name_H-M_alt 'P 1 2/m 1'
_space_group_IT_number 10
loop_
_space_group_symop_operation_xyz
'x,y,z'
'-x,-y,-z'
'-x,y,-z'
'x,-y,z'
loop_
_atom_site_label
_atom_site_type_symbol
_atom_site_fract_x
_atom_site_fract_y
_atom_site_fract_z
Cd1 Cd 0.140 0.000 0.279
Pd1 Pd 0.000 0.000 0.000
Pd2 Pd 0.289 0.000 0.579
Pt1 Pt 0.427 0.500 0.856
```

Properties
- spin magnetization (μB/cell) = 0.000
- D(E_F) (states/eV/f.u.) = 6.65
- V (Å³/cell) = 120.3

What are the relative energies? In kJ/mol of atoms: i 0.0; ii 14.7.